No. 1
Material: BeTe2AsI
Method: DFT, GGA-PBE
State: optimized geometry

Properties
Offset from the most stable computed form in meV per atom: 380.8
Formation energy (no corrections) in eV per formula unit: 4.6

Unit cell a=5.520 b=5.520 c=5.507 alpha=90.00 beta=90.00 gamma=90.00
Space group P4/mmm (No. 123)
Symmetry-distinct sites (fractional):
Be 0.000 0.000 0.000 [1 per cell]
Te 0.000 0.500 0.500 [2 per cell]
As 0.500 0.500 0.500 [1 per cell]
I 0.500 0.500 0.000 [1 per cell]


No. 2
Material: BeTe2AsI
Method: DFT, GGA-PBE
State: optimized geometry

Properties
Offset from the most stable computed form in meV per atom: 0.0
Formation energy (no corrections) in eV per formula unit: 2.7

Unit cell a=5.051 b=5.051 c=4.996 alpha=90.00 beta=90.00 gamma=90.00
Space group P4/mmm (No. 123)
Symmetry-distinct sites (fractional):
Be 0.000 0.000 0.000 [1 per cell]
Te 0.000 0.500 0.000 [2 per cell]
As 0.500 0.500 0.500 [1 per cell]
I 0.000 0.000 0.500 [1 per cell]


No. 3
Material: BeZnAs2I
Method: DFT, GGA-PBE
State: optimized geometry

Properties
Formation energy (no corrections) in eV per formula unit: 2.6

Unit cell a=4.710 b=4.710 c=4.660 alpha=90.00 beta=90.00 gamma=90.00
Space group P4/mmm (No. 123)
Symmetry-distinct sites (fractional):
Be 0.000 0.000 0.000 [1 per cell]
Zn 0.000 0.000 0.500 [1 per cell]
As 0.000 0.500 0.000 [2 per cell]
I 0.500 0.500 0.500 [1 per cell]


No. 4
Material: BeIn2As
Method: DFT, GGA-PBE
State: optimized geometry

Properties
Offset from the most stable computed form in meV per atom: 227.5
Formation energy from the elements in eV per atom: 0.332

Unit cell a=7.028 b=4.049 c=6.410 alpha=90.00 beta=111.91 gamma=90.00
Space group C2/m (No. 12)
Symmetry-distinct sites (fractional):
Be 0.000 0.000 0.000 [2 per cell]
In 0.239 0.500 0.219 [4 per cell]
As 0.000 0.500 0.500 [2 per cell]


No. 5
Material: Be2InAs2
Method: DFT, GGA-PBE
State: optimized geometry

Properties
Formation energy from the elements in eV per atom: -0.041

Unit cell a=3.615 b=3.615 c=14.049 alpha=90.00 beta=90.00 gamma=90.00
Space group I4/mmm (No. 139)
Symmetry-distinct sites (fractional):
Be 0.000 0.500 0.250 [4 per cell]
In 0.000 0.000 0.000 [2 per cell]
As 0.000 0.000 0.353 [4 per cell]


No. 6
Material: BeIn2As
Method: DFT, GGA-PBE
State: optimized geometry

Properties
Offset from the most stable computed form in meV per atom: 329.3
Formation energy from the elements in eV per atom: 0.433

Unit cell a=3.166 b=3.166 c=8.050 alpha=90.00 beta=90.00 gamma=90.00
Space group P4/mmm (No. 123)
Symmetry-distinct sites (fractional):
Be 0.000 0.000 0.000 [1 per cell]
In 0.500 0.500 0.220 [2 per cell]
As 0.000 0.000 0.500 [1 per cell]


no.,total magnetic moment (μB per formula unit)
1,0.00
2,0.00
3,0.00
4,0.00
5,0.00
6,0.00